1.
Cd2MoAs: relaxed, PBEsol.

Cell and atoms, written as POSCAR:
```
Cd2MoAs
1.0
4.0887 0.0000 0.0000
0.0000 4.0887 0.0000
-2.0443 -2.0443 4.2467
Mo As Cd
1 1 2
Direct
0.5000 0.5000 0.0000
0.2500 0.7500 0.5000
0.0000 0.0000 0.0000
0.7500 0.2500 0.5000
```

Raw total energy (eV/cell): -17.70
Calculated formation energy (eV per formula unit): 1.57
Space-group type: No. 119

2.
CdMo3As: relaxed, PBEsol.

Cell and atoms, written as POSCAR:
```
CdMo3As
1.0
4.5814 0.0000 0.0000
0.0000 4.5814 0.0000
0.0000 0.0000 4.5814
Mo As Cd
3 1 1
Direct
0.0000 0.5000 0.0000
0.0000 0.0000 0.5000
0.5000 0.0000 0.0000
0.0000 0.0000 0.0000
0.5000 0.5000 0.5000
```

Raw total energy (eV/cell): -35.97
Calculated formation energy (eV per formula unit): 5.63
Space-group type: No. 221